DFT (PBE+U) results for a geometry-optimized BeVCoO structure.

Cell lengths 2.627, 2.627, 6.460 Å; angles 90.00, 90.00, 120.00 degrees
Sites, in units of the cell vectors:
Be (0.000, 0.000, 0.000)
V (0.333, 0.667, 0.379)
Co (0.667, 0.333, 0.699)
O (0.667, 0.333, 0.130)

Summary:
- Fermi-level density of states: 0.266 states/eV/atom
- M_tot: 0.944 μB per cell
- Raw total energy: -5.68 eV per atom
- Density: 5.80 Mg/m³